No. 1
First-principles (PBE) data for a relaxed structure of Cr2CdSbBr, as listed in Alexandria via LeMat-Bulk.

```
Cr2CdSbBr
1.0
-2.120 -4.182 -2.701
3.727 -3.064 1.820
-3.081 -1.204 4.282
Br Cd Cr Sb
1 1 2 1
Direct
0.000 0.500 0.000
0.000 0.000 0.000
0.000 0.000 0.500
0.500 0.000 0.000
0.500 0.500 0.500
```

Summary:
The uncorrected formation energy is 5.8 eV/f.u.

No. 2
First-principles (PBE) data for a relaxed structure of AcNdHfN3, as listed in Alexandria via LeMat-Bulk.

```
AcNdHfN3
1.0
3.636 0.000 0.000
0.000 7.583 1.353
0.000 -1.383 8.465
N Nd Hf Ac
6 2 2 2
Direct
0.750 0.839 0.189
0.250 0.872 0.554
0.750 0.368 0.112
0.250 0.161 0.811
0.250 0.632 0.888
0.750 0.128 0.446
0.250 0.602 0.154
0.750 0.398 0.846
0.750 0.857 0.428
0.250 0.143 0.572
0.750 0.859 0.843
0.250 0.141 0.157
```

Summary:
The uncorrected formation energy is -6.9 eV/f.u.

No. 3
First-principles (PBE) data for a relaxed structure of Pr4Sm4Dy, as listed in Alexandria via LeMat-Bulk.

```
Pr4Sm4Dy
1.0
5.165 0.000 0.000
2.582 7.761 0.000
2.582 0.000 7.761
Pr Dy Sm
4 1 4
Direct
0.666 0.000 0.668
0.334 0.000 0.332
0.666 0.668 0.000
0.334 0.332 0.000
0.000 0.000 0.000
0.000 0.666 0.334
0.000 0.334 0.666
0.334 0.666 0.666
0.666 0.334 0.334
```

Summary:
The calculation puts the formation energy from the elements at 0.13 eV per formula unit.

No. 4
First-principles (PBE) data for a relaxed structure of LaNbZnCl2, as listed in Alexandria via LeMat-Bulk.

```
LaNbZnCl2
1.0
-4.072 1.886 1.934
-3.141 -2.361 -4.311
-0.611 -4.050 2.663
La Nb Cl Zn
1 1 2 1
Direct
0.000 0.500 0.000
0.000 0.000 0.000
0.500 0.000 0.000
0.000 0.000 0.500
0.500 0.500 0.500
```

Summary:
The uncorrected formation energy is -0.9 eV/f.u.